VASP calculation (PBE-GGA) on a relaxed Y3TaS crystal.

Values from the calculation:
E_tot   -7.360 eV/atom
Symmetry   I4/mcm

Cell lengths 7.255, 7.255, 7.255 Å; angles 121.70, 121.70, 87.07 degrees
Fractional coordinates of all 10 atoms:
S  0.000  0.000  0.000
S  0.500  0.500  0.000
Ta  0.750  0.250  0.500
Ta  0.250  0.750  0.500
Y  0.669  0.831  0.500
Y  0.331  0.169  0.500
Y  0.750  0.750  0.000
Y  0.831  0.331  0.162
Y  0.250  0.250  0.000
Y  0.169  0.669  0.838

VASP calculation (PBE-GGA) on a relaxed ZrAlZn crystal.

Values from the calculation:
E_tot   -4.213 eV/atom
Symmetry   F-43m

Cell lengths 4.534, 4.534, 4.534 Å; angles 60.00, 60.00, 60.00 degrees
Fractional coordinates of all 3 atoms:
Zr  0.000  0.000  0.000
Al  0.250  0.250  0.250
Zn  0.750  0.750  0.750

VASP calculation (PBE-GGA) on a relaxed Y3Mg3TlAg2 crystal.

Values from the calculation:
E_tot   -3.829 eV/atom
Symmetry   P-62m

Cell lengths 7.691, 7.691, 4.257 Å; angles 90.00, 90.00, 120.00 degrees
Fractional coordinates of all 9 atoms:
Y  0.583  0.000  0.500
Y  0.417  0.417  0.500
Y  0.000  0.583  0.500
Mg  0.744  0.744  0.000
Mg  0.256  0.000  0.000
Mg  0.000  0.256  0.000
Tl  0.000  0.000  0.500
Ag  0.333  0.667  0.000
Ag  0.667  0.333  0.000

VASP calculation (PBE-GGA) on a relaxed RbHoGeSe3 crystal.

Values from the calculation:
Symmetry   P2_1/m
Excess energy over the best structure of this formula in the dataset   0.00 eV per formula unit

Cell lengths 8.896, 4.062, 11.236 Å; angles 90.00, 110.40, 90.00 degrees
Fractional coordinates of all 12 atoms:
Ho  0.866  0.250  0.844
Ho  0.134  0.750  0.156
Se  0.172  0.750  0.422
Se  0.619  0.750  0.779
Se  0.897  0.250  0.104
Se  0.828  0.250  0.578
Se  0.381  0.250  0.221
Se  0.103  0.750  0.896
Rb  0.272  0.250  0.726
Rb  0.728  0.750  0.274
Ge  0.628  0.750  0.561
Ge  0.372  0.250  0.439

VASP calculation (PBE-GGA) on a relaxed Be2Co3Si2 crystal.

Values from the calculation:
E_tot   -6.117 eV/atom
Symmetry   R3m

Cell lengths 6.362, 6.362, 6.362 Å; angles 34.43, 34.43, 34.43 degrees
Fractional coordinates of all 7 atoms:
Be  0.755  0.755  0.755
Be  0.240  0.240  0.240
Co  0.626  0.626  0.626
Co  0.879  0.879  0.879
Co  0.371  0.371  0.371
Si  0.495  0.495  0.495
Si  0.009  0.009  0.009

VASP calculation (PBE-GGA) on a relaxed HfCu2W crystal.

Values from the calculation:
DFT formation energy   51 kJ/mol of atoms
Symmetry   F-43m

Cell lengths 4.469, 4.469, 4.469 Å; angles 60.00, 60.00, 60.00 degrees
Last column: magnetic moment on the atom in μB.
Fractional coordinates of all 4 atoms:
Hf  0.250  0.250  0.250  0.35
Cu  0.000  0.000  0.000  0.06
Cu  0.750  0.750  0.750  0.15
W  0.500  0.500  0.500  1.05

Number 1: theoretical density 6.07 g/cm3. Number 2: theoretical density 4.63 g/cm3. Number 3: theoretical density 5.79 g/cm3. Number 4: theoretical density 4.89 g/cm3. Number 5: theoretical density 5.68 g/cm3. Number 6: theoretical density 12.87 g/cm3.